Ac3Mg5Se12: optimized geometry, PBE-GGA.

a = 16.6824 Å, b = 16.6824 Å, c = 16.6824 Å
α = 90.00°, β = 90.00°, γ = 90.00°
Closest atoms and distances in Å follow each position.
Space group Ia-3d (No. 230)
Unique sites:
Ac1 0.0000 0.2500 0.1250  8 Se 3.17-3.25
Mg1 0.0000 0.0000 0.0000  6 Se 2.74
Mg2 0.0000 0.2500 0.3750  4 Se 2.56
Se1 0.0290 0.0636 0.6487  2 Mg 2.56-2.74

Computed properties:
Formation energy without anion corrections ... -1.152 eV/atom
VASP energy ... -4.257 eV per atom
Density of states at the Fermi level ... 233.13 states/eV/cell

DyEr3Ni: optimized geometry, PBE-GGA.

a = 5.2566 Å, b = 5.2566 Å, c = 5.2566 Å
α = 90.00°, β = 90.00°, γ = 90.00°
Closest atoms and distances in Å follow each position.
Space group Pm-3m (No. 221)
Unique sites:
Dy1 0.0000 0.0000 0.0000  12 Er 3.72
Er1 0.0000 0.5000 0.5000  2 Ni 2.63
Ni1 0.5000 0.5000 0.5000  6 Er 2.63

Computed properties:
E above lowest polymorph ... 127.7 meV/atom
VASP energy ... -4.868 eV per atom
Energy of formation ... -0.054 eV per atom
Density of states at the Fermi level ... 8.86 states/eV/cell

PrRh2Pb2: optimized geometry, PBE-GGA.

a = 4.9823 Å, b = 4.6726 Å, c = 10.3138 Å
α = 90.00°, β = 98.58°, γ = 90.00°
Closest atoms and distances in Å follow each position.
Space group P2_1/m (No. 11)
Unique sites:
Pr1 0.2302 0.2500 0.2403  1 Rh 2.94
Rh1 0.1583 0.7500 0.0045  4 Pb 2.72-2.79, 2 Rh 2.81, 1 Pr 2.94
Rh2 0.3104 0.2500 0.6318  5 Pb 2.63-2.81
Pb1 0.2322 0.7500 0.4925  4 Rh 2.74-2.81
Pb2 0.3093 0.2500 0.8868  5 Rh 2.63-2.79

Computed properties:
VASP energy ... -5.728 eV per atom
Energy of formation ... -0.348 eV per atom
Density of states at the Fermi level ... 6.40 states/eV/cell

MgP2Cl: optimized geometry, PBE-GGA.

a = 3.9049 Å, b = 3.9049 Å, c = 5.3556 Å
α = 90.00°, β = 90.00°, γ = 90.00°
Closest atoms and distances in Å follow each position.
Space group P4/mmm (No. 123)
Unique sites:
Mg1 0.0000 0.0000 0.0000  2 Cl 2.68, 8 P 2.95
P1 0.5000 0.5000 0.1917  1 P 2.05
Cl1 0.0000 0.0000 0.5000  2 Mg 2.68

Computed properties:
E above lowest polymorph ... 442.7 meV/atom
Formation energy without anion corrections ... -0.133 eV/atom
VASP energy ... -3.698 eV per atom
Density of states at the Fermi level ... 2.28 states/eV/cell

Repeat the third record exactly.
PrRh2Pb2: optimized geometry, PBE-GGA.

a = 4.9823 Å, b = 4.6726 Å, c = 10.3138 Å
α = 90.00°, β = 98.58°, γ = 90.00°
Closest atoms and distances in Å follow each position.
Space group P2_1/m (No. 11)
Unique sites:
Pr1 0.2302 0.2500 0.2403  1 Rh 2.94
Rh1 0.1583 0.7500 0.0045  4 Pb 2.72-2.79, 2 Rh 2.81, 1 Pr 2.94
Rh2 0.3104 0.2500 0.6318  5 Pb 2.63-2.81
Pb1 0.2322 0.7500 0.4925  4 Rh 2.74-2.81
Pb2 0.3093 0.2500 0.8868  5 Rh 2.63-2.79

Computed properties:
VASP energy ... -5.728 eV per atom
Energy of formation ... -0.348 eV per atom
Density of states at the Fermi level ... 6.40 states/eV/cell

Repeat the first record exactly.
Ac3Mg5Se12: optimized geometry, PBE-GGA.

a = 16.6824 Å, b = 16.6824 Å, c = 16.6824 Å
α = 90.00°, β = 90.00°, γ = 90.00°
Closest atoms and distances in Å follow each position.
Space group Ia-3d (No. 230)
Unique sites:
Ac1 0.0000 0.2500 0.1250  8 Se 3.17-3.25
Mg1 0.0000 0.0000 0.0000  6 Se 2.74
Mg2 0.0000 0.2500 0.3750  4 Se 2.56
Se1 0.0290 0.0636 0.6487  2 Mg 2.56-2.74

Computed properties:
Formation energy without anion corrections ... -1.152 eV/atom
VASP energy ... -4.257 eV per atom
Density of states at the Fermi level ... 233.13 states/eV/cell

- Which of these has the lowest density of states at the Fermi level?
  MgP2Cl